The following is a DFT calculation (PBE) of a relaxed Pm2InAs3Pd4 crystal.

extended XYZ file:
```
10
Lattice="4.2130 0.0000 0.0000 0.0000 4.2130 0.0000 0.0000 0.0000 11.2557" Properties=species:S:1:pos:R:3 pbc="T T T"
Pm 0.0000 2.1065 2.5387
Pm 2.1065 0.0000 8.7170
In 0.0000 0.0000 5.6279
As 0.0000 2.1065 9.7563
As 2.1065 0.0000 1.4994
As 2.1065 2.1065 5.6279
Pd 0.0000 0.0000 0.0000
Pd 0.0000 2.1065 7.3189
Pd 2.1065 0.0000 3.9368
Pd 2.1065 2.1065 0.0000
```

- density of states at the Fermi level (states/eV per atom) = 0.48
- E_form (eV per atom) = -0.84